# 1
## Pm2TmMg (PBE)

Data for Pm2TmMg after structural relaxation.

Total moment = 0.000 μB/cell
Mass density = 6.60 Mg/m³
Excess energy over the best structure of this formula in the dataset = 0.039 eV/atom

Geometry as POSCAR:
```
Pm2TmMg
1.0
5.560 0.000 0.000
2.780 4.815 0.000
2.780 1.605 4.539
Mg Tm Pm
1 1 2
Cartesian
5.560 3.210 2.270 Mg
0.000 0.000 0.000 Tm
2.780 1.605 1.135 Pm
8.339 4.815 3.405 Pm
```


# 2
## Cs2Se2I (PBE)

Data for Cs2Se2I after structural relaxation.

Raw formation energy = -0.90 eV per atom
Total moment = 0.000 μB/cell
Mass density = 4.72 Mg/m³

Geometry as POSCAR:
```
Cs2Se2I
1.0
-2.885 2.739 1.365
-0.994 -2.613 3.142
5.593 4.834 8.602
Cs I Se
2 1 2
Cartesian
-0.252 1.132 3.676 Cs
1.966 3.828 9.433 Cs
0.000 0.000 0.000 I
0.384 3.818 6.110 Se
1.330 1.142 6.999 Se
```


# 3
## AlInRh2 (PBE)

Data for AlInRh2 after structural relaxation.

Uncorrected energy = -0.2092 Ha/atom
Total moment = 0.000 μB/cell
Mass density = 9.15 Mg/m³

Geometry as POSCAR:
```
AlInRh2
1.0
-1.276 2.650 4.226
-2.271 -2.598 3.821
4.173 -0.563 -2.962
Rh Al In
2 1 1
Cartesian
0.000 0.000 0.000 Rh
0.064 -1.568 2.441 Rh
-1.774 0.026 4.023 Al
0.562 1.056 2.644 In
```


# 4
## CrPbAu2C (PBE)

Data for CrPbAu2C after structural relaxation.

Uncorrected energy = -0.1294 Ha/atom
Total moment = 0.201 μB/cell
Mass density = 9.15 Mg/m³

Geometry as POSCAR:
```
CrPbAu2C
1.0
5.331 0.000 0.000
0.000 4.248 0.000
0.000 0.000 5.331
Pb Cr C Au
1 1 1 2
Cartesian
0.000 0.000 0.000 Pb
2.666 2.124 2.666 Cr
0.000 2.124 0.000 C
0.000 0.000 2.666 Au
2.666 0.000 0.000 Au
```


# 5
## Ho5TmSc6 (PBE)

Data for Ho5TmSc6 after structural relaxation.

Uncorrected energy = -0.1981 Ha/atom
Total moment = 0.000 μB/cell
Mass density = 6.37 Mg/m³

Geometry as POSCAR:
```
Ho5TmSc6
1.0
-7.591 1.971 -7.873
-4.812 -2.177 2.627
-3.352 3.486 3.371
Ho Tm Sc
5 1 6
Cartesian
-6.832 2.947 -1.251 Ho
-2.721 0.436 1.999 Ho
-6.202 -0.103 -2.623 Ho
-5.443 0.873 3.999 Ho
-8.923 0.333 -0.624 Ho
0.000 0.000 0.000 Tm
-7.212 2.460 -4.566 Sc
-5.822 0.383 0.691 Sc
-3.100 -0.053 -1.308 Sc
-9.303 -0.153 -3.937 Sc
-9.933 2.897 -2.566 Sc
-8.543 0.820 2.691 Sc
```


# 6
## CsGaI3 (PBE)

Data for CsGaI3 after structural relaxation.

Raw formation energy = -0.97 eV per atom
Total moment = 0.000 μB/cell
Mass density = 3.76 Mg/m³

Geometry as POSCAR:
```
CsGaI3
1.0
8.500 0.000 -0.364
0.000 9.771 0.000
0.005 0.000 12.422
Cs Ga I
4 4 12
Cartesian
8.149 5.975 2.765 Cs
4.603 1.090 2.900 Cs
0.356 3.796 9.293 Cs
3.902 8.681 9.158 Cs
3.832 5.808 0.506 Ga
0.420 0.923 5.523 Ga
4.673 3.963 11.552 Ga
8.085 8.848 6.535 Ga
1.282 6.802 6.825 I
2.975 1.917 11.626 I
7.223 2.969 5.233 I
5.530 7.854 0.432 I
7.812 9.542 9.062 I
4.946 4.657 9.025 I
0.693 0.229 2.996 I
3.559 5.114 3.033 I
5.793 7.886 5.638 I
6.959 3.000 0.027 I
2.712 1.885 6.420 I
1.546 6.771 12.031 I
```


# 7
## ScNbRh3 (PBE)

Data for ScNbRh3 after structural relaxation.

Total moment = 0.000 μB/cell
Mass density = 8.50 Mg/m³
Excess energy over the best structure of this formula in the dataset = 0.000 eV/atom

Geometry as POSCAR:
```
ScNbRh3
1.0
5.022 0.000 0.001
0.000 4.956 -2.629
0.001 0.424 6.785
Sc Nb Rh
2 2 6
Cartesian
3.767 2.410 4.543 Sc
1.256 2.970 -0.386 Sc
3.768 4.302 2.124 Nb
1.255 1.078 2.033 Nb
3.767 4.700 -0.270 Rh
3.767 2.096 1.111 Rh
1.256 3.284 3.046 Rh
1.256 0.680 4.427 Rh
0.000 0.000 0.000 Rh
2.511 0.000 0.000 Rh
```


# 8
## CaCe3Zn8 (PBE)

Data for CaCe3Zn8 after structural relaxation.

Uncorrected energy = -0.1012 Ha/atom
Total moment = 1.861 μB/cell
Mass density = 6.90 Mg/m³

Geometry as POSCAR:
```
CaCe3Zn8
1.0
-1.206 -4.852 2.566
2.095 -0.024 -5.215
8.025 -0.288 3.226
Ca Ce Zn
1 3 8
Cartesian
4.504 -0.161 1.810 Ca
3.247 -3.363 1.320 Ce
0.481 -3.264 0.208 Ce
7.629 -0.273 3.067 Ce
5.015 -1.778 -1.005 Zn
8.980 -1.920 0.589 Zn
5.422 -2.659 3.672 Zn
6.447 -2.671 1.121 Zn
5.857 -5.045 2.377 Zn
2.521 -0.902 -0.521 Zn
3.552 -0.914 -3.087 Zn
2.959 -3.301 -1.824 Zn
```


# 9
## Pm2Pr3Dy8 (PBE)

Data for Pm2Pr3Dy8 after structural relaxation.

Total moment = 0.000 μB/cell
Mass density = 7.80 Mg/m³
Excess energy over the best structure of this formula in the dataset = 0.000 eV/atom

Geometry as POSCAR:
```
Pm2Pr3Dy8
1.0
6.156 -0.147 1.015
-1.294 5.659 2.270
-1.877 -2.510 10.925
Pm Pr Dy
2 3 8
Cartesian
2.928 2.022 8.054 Pm
0.057 0.980 6.156 Pm
0.000 0.000 0.000 Pr
2.866 1.031 1.929 Pr
0.119 1.971 12.281 Pr
-0.431 2.215 2.837 Dy
3.416 0.787 11.373 Dy
-0.835 4.426 5.635 Dy
3.820 -1.424 8.575 Dy
-0.356 3.202 8.946 Dy
0.540 -0.238 9.465 Dy
2.445 3.240 4.745 Dy
3.342 -0.200 5.264 Dy
```


# 10
## K3GaFe (PBE)

Data for K3GaFe after structural relaxation.

Total moment = 2.979 μB/cell
Mass density = 1.62 Mg/m³
Excess energy over the best structure of this formula in the dataset = 0.000 eV/atom

Geometry as POSCAR:
```
K3GaFe
1.0
-2.460 2.653 -5.152
1.102 -5.281 -3.245
-5.689 -2.170 1.599
K Fe Ga
3 1 1
Cartesian
0.551 -2.640 -1.623 K
-2.845 -1.085 0.800 K
-1.230 1.326 -2.576 K
0.000 0.000 0.000 Fe
-3.524 -2.399 -3.399 Ga
```


# 11
## TlBiHPb2 (PBE)

Data for TlBiHPb2 after structural relaxation.

Total moment = 0.000 μB/cell
Mass density = 10.49 Mg/m³
Excess energy over the best structure of this formula in the dataset = 0.000 eV/atom

Geometry as POSCAR:
```
TlBiHPb2
1.0
5.067 0.000 0.000
0.000 5.067 0.000
0.000 0.000 5.109
Pb H Tl Bi
2 1 1 1
Cartesian
0.000 2.533 0.000 Pb
2.533 0.000 0.000 Pb
0.000 0.000 0.000 H
0.000 0.000 2.555 Tl
2.533 2.533 2.555 Bi
```


# 12
## CuRh2Cl (PBE)

Data for CuRh2Cl after structural relaxation.

Raw formation energy = 0.40 eV per atom
Total moment = 0.000 μB/cell
Mass density = 8.58 Mg/m³
Excess energy over the best structure of this formula in the dataset = 0.221 eV/atom

Geometry as POSCAR:
```
CuRh2Cl
1.0
-0.577 -1.363 -2.447
1.083 -1.391 2.252
-7.808 -1.629 2.748
Rh Cu Cl
2 1 1
Cartesian
-0.019 -0.004 0.007 Rh
-3.885 -0.810 1.367 Rh
-5.603 -2.598 1.964 Cu
-1.699 -1.784 0.590 Cl
```


# 13
## YGe2P2 (PBE)

Data for YGe2P2 after structural relaxation.

Total moment = 0.000 μB/cell
Mass density = 4.81 Mg/m³
Excess energy over the best structure of this formula in the dataset = 0.020 eV/atom

Geometry as POSCAR:
```
YGe2P2
1.0
-6.342 -1.436 3.232
3.379 -4.420 4.666
0.558 2.982 2.420
Y P Ge
2 4 4
Cartesian
0.000 0.000 0.000 Y
-1.481 -2.928 3.949 Y
0.538 -4.486 5.403 P
-3.570 -3.978 5.725 P
-3.500 -1.370 2.495 P
0.608 -1.878 2.173 P
1.249 -2.141 5.461 Ge
-1.873 -2.922 7.144 Ge
-3.654 -0.733 4.857 Ge
-0.531 0.048 3.174 Ge
```


# 14
## TlAsPd2F (PBE)

Data for TlAsPd2F after structural relaxation.

Raw formation energy = 0.81 eV per atom
Total moment = 1.124 μB/cell
Mass density = 6.03 Mg/m³

Geometry as POSCAR:
```
TlAsPd2F
1.0
-1.412 -2.060 4.552
-0.802 -4.603 -2.331
4.932 -1.329 0.928
Tl As Pd F
1 1 2 1
Cartesian
0.000 0.000 0.000 Tl
-0.401 -2.302 -1.166 As
2.466 -0.665 0.464 Pd
-0.706 -1.030 2.276 Pd
1.359 -3.996 1.574 F
```


# 15
## CsTa2Tl (PBE)

Data for CsTa2Tl after structural relaxation.

Uncorrected energy = -0.1891 Ha/atom
Total moment = 0.000 μB/cell
Mass density = 8.65 Mg/m³

Geometry as POSCAR:
```
CsTa2Tl
1.0
5.020 0.000 0.000
0.000 5.020 0.000
2.510 2.510 10.646
Cs Tl Ta
2 2 4
Cartesian
2.510 2.510 0.000 Cs
2.510 5.020 5.323 Cs
0.000 0.000 0.000 Tl
5.020 2.510 5.323 Tl
4.697 1.255 2.662 Ta
5.344 3.765 2.662 Ta
3.765 2.834 7.985 Ta
6.275 2.187 7.985 Ta
```


# 16
## YZn2 (PBE)

Data for YZn2 after structural relaxation.

Uncorrected energy = -0.1034 Ha/atom
Total moment = 0.000 μB/cell
Mass density = 4.86 Mg/m³

Geometry as POSCAR:
```
YZn2
1.0
-4.290 -1.485 1.352
-2.224 -3.376 -2.468
-0.533 -4.326 1.853
Y Zn
1 2
Cartesian
0.000 0.000 0.000 Y
-1.762 -2.297 0.184 Zn
-5.285 -6.890 0.553 Zn
```


# 17
## Na2AlCrPd (PBE)

Data for Na2AlCrPd after structural relaxation.

Uncorrected energy = -0.1202 Ha/atom
Total moment = 4.872 μB/cell
Mass density = 2.78 Mg/m³

Geometry as POSCAR:
```
Na2AlCrPd
1.0
5.281 0.000 0.000
0.000 4.951 0.000
0.000 0.000 5.281
Cr Al Pd Na
1 1 1 2
Cartesian
0.000 0.000 0.000 Cr
0.000 2.475 0.000 Al
2.640 2.475 2.640 Pd
0.000 0.000 2.640 Na
2.640 0.000 0.000 Na
```


# 18
## CaPrPb (PBE)

Data for CaPrPb after structural relaxation.

Uncorrected energy = -0.1390 Ha/atom
Total moment = 0.862 μB/cell
Mass density = 6.07 Mg/m³

Geometry as POSCAR:
```
CaPrPb
1.0
-2.629 -0.292 4.503
4.894 -1.839 -0.290
0.836 9.331 1.093
Ca Pr Pb
2 2 2
Cartesian
2.701 -0.543 1.542 Ca
0.400 7.743 3.763 Ca
1.056 2.145 3.784 Pr
2.045 5.055 1.521 Pr
2.382 5.409 4.769 Pb
0.719 1.791 0.536 Pb
```


# 19
## LiZrSc2P (PBE)

Data for LiZrSc2P after structural relaxation.

Uncorrected energy = -0.1711 Ha/atom
Total moment = 0.673 μB/cell
Mass density = 3.04 Mg/m³

Geometry as POSCAR:
```
LiZrSc2P
1.0
5.051 0.000 0.000
0.000 4.692 0.000
0.000 0.000 5.051
Sc P Zr Li
2 1 1 1
Cartesian
0.000 0.000 2.526 Sc
2.526 0.000 0.000 Sc
2.526 2.346 2.526 P
0.000 0.000 0.000 Zr
0.000 2.346 0.000 Li
```